[1]
Entry from Alexandria via LeMat-Bulk: HfSc2Te6 after structural relaxation (PBE).

Geometry as POSCAR:
```
HfSc2Te6
1.0
6.986 0.000 0.301
0.000 7.618 0.000
-0.428 0.000 9.652
Te Sc Hf
12 4 2
Cartesian
2.305 6.352 0.774
5.716 7.364 2.503
1.058 2.456 0.832
4.253 1.266 9.180
2.009 4.064 7.178
4.337 1.353 5.808
2.221 6.265 4.145
0.842 0.254 7.451
0.974 2.543 4.203
5.584 5.075 5.751
4.549 3.555 2.775
5.500 5.163 9.122
6.391 2.756 7.633
3.446 6.565 7.298
0.167 4.863 2.321
3.112 1.053 2.656
-0.214 0.000 4.826
3.493 3.809 0.151
```

Symmetry ... No. 14
Raw formation energy ... -0.81 eV/atom



[2]
Entry from Alexandria via LeMat-Bulk: TbNdSi2 after structural relaxation (PBE).

Geometry as POSCAR:
```
TbNdSi2
1.0
4.391 0.000 -0.029
0.000 3.897 0.000
-2.158 0.000 5.409
Si Nd Tb
2 1 1
Cartesian
-1.151 1.949 4.616
-1.163 0.000 3.028
1.029 1.949 2.269
1.048 0.000 5.292
```

Relative energy among the computed polymorphs ... 0 meV per atom
Symmetry ... No. 38
Raw formation energy ... -0.78 eV/atom



[3]
Entry from Alexandria via LeMat-Bulk: ZrAu2Se after structural relaxation (PBE).

Geometry as POSCAR:
```
ZrAu2Se
1.0
6.386 0.393 -0.032
3.766 5.172 0.032
-4.739 -3.398 2.633
Zr Au Se
1 2 1
Cartesian
3.362 -0.112 1.300
9.782 5.361 0.000
5.447 2.985 0.000
2.052 2.278 1.333
```

Symmetry ... No. 71
Raw formation energy ... -0.41 eV/atom



[4]
Entry from Alexandria via LeMat-Bulk: SnTeC2 after structural relaxation (PBE).

Geometry as POSCAR:
```
SnTeC2
1.0
-0.979 2.343 -4.405
-3.227 -3.721 -1.262
-6.323 2.141 -0.391
C Sn Te
4 2 2
Cartesian
-6.359 1.043 -2.434
-8.382 0.446 -5.237
-3.732 -1.469 -1.492
-2.584 1.505 -2.954
-2.103 -0.689 -2.834
-5.826 -1.135 -2.243
-4.702 1.897 -3.815
0.000 0.000 0.000
```

Relative energy among the computed polymorphs ... 0 meV per atom
Symmetry ... No. 122
Raw formation energy ... 1.53 eV/atom



[5]
Entry from Alexandria via LeMat-Bulk: Ho4Cd2Ga after structural relaxation (PBE).

Geometry as POSCAR:
```
Ho4Cd2Ga
1.0
-3.712 -2.122 2.854
-0.993 -5.028 -0.400
3.996 -3.965 6.878
Cd Ga Ho
2 1 4
Cartesian
-0.180 -2.778 2.329
-0.528 -8.338 7.002
0.000 0.000 0.000
1.910 -3.372 4.606
-2.619 -7.744 4.726
-2.421 -4.970 2.415
1.712 -6.145 6.917
```

Symmetry ... No. 166
Energy relative to the elements ... -1.43 eV per formula unit



[6]
Entry from Alexandria via LeMat-Bulk: CaSmTeAs after structural relaxation (PBE).

Geometry as POSCAR:
```
CaSmTeAs
1.0
-0.103 -0.055 -4.346
-2.830 -2.567 -2.075
-5.856 4.466 -2.092
Sm Te As Ca
1 1 1 1
Cartesian
-3.083 -2.457 -6.419
-6.600 1.392 -6.384
-2.155 0.415 -2.129
-4.279 0.796 -4.257
```

Symmetry ... No. 160
Raw formation energy ... -1.51 eV/atom



[7]
Entry from Alexandria via LeMat-Bulk: Ca3AcMg after structural relaxation (PBE).

Geometry as POSCAR:
```
Ca3AcMg
1.0
3.780 0.001 -0.690
-0.430 10.006 -2.326
-0.038 -0.313 10.229
Ca Mg Ac
6 2 2
Cartesian
1.383 4.050 -0.370
1.224 8.149 -1.257
2.069 4.639 3.270
0.500 7.248 5.332
0.667 2.617 6.204
1.902 9.269 2.398
-0.219 6.614 1.528
2.788 5.272 7.074
-0.033 1.473 2.487
3.031 0.408 8.441
```

Relative energy among the computed polymorphs ... 0 meV per atom
Symmetry ... No. 2
Energy relative to the elements ... 0.10 eV per formula unit



[8]
Entry from Alexandria via LeMat-Bulk: Sr2GaPd2 after structural relaxation (PBE).

Geometry as POSCAR:
```
Sr2GaPd2
1.0
-2.331 1.118 -7.009
5.882 -3.824 -2.566
-2.361 -3.757 0.186
Sr Ga Pd
4 2 4
Cartesian
2.111 -4.285 -6.749
2.377 -4.260 -2.852
-1.187 -2.202 -6.537
-0.920 -2.177 -2.640
1.776 -1.353 -4.788
0.000 0.000 0.000
4.242 -2.903 -4.790
-0.690 0.197 -4.786
1.709 -1.455 -7.698
1.843 -1.251 -1.877
```

Symmetry ... No. 127
Energy relative to the elements ... -2.70 eV per formula unit



- Which formula does entry 1 have?
  HfSc2Te6



Please write out number 4 again, unchanged.
Entry from Alexandria via LeMat-Bulk: SnTeC2 after structural relaxation (PBE).

Geometry as POSCAR:
```
SnTeC2
1.0
-0.979 2.343 -4.405
-3.227 -3.721 -1.262
-6.323 2.141 -0.391
C Sn Te
4 2 2
Cartesian
-6.359 1.043 -2.434
-8.382 0.446 -5.237
-3.732 -1.469 -1.492
-2.584 1.505 -2.954
-2.103 -0.689 -2.834
-5.826 -1.135 -2.243
-4.702 1.897 -3.815
0.000 0.000 0.000
```

Relative energy among the computed polymorphs ... 0 meV per atom
Symmetry ... No. 122
Raw formation energy ... 1.53 eV/atom